# 1
The following is a PBE calculation of an optimized crystal structure of Ac3GePd9Pb2, from the Alexandria database.

Output
Total moment ... 0.000 μB per formula unit
Energy of formation from the pure elements ... -41.8 kJ per mole of atoms

Cell lengths 7.0408, 7.0408, 8.8442 Å; angles 90.00, 90.00, 120.00 degrees
Positions (direct):
Pb  0.3333  0.6667  0.2076
Pb  0.6667  0.3333  0.7924
Pd  0.8693  0.1307  0.7074
Ge  0.0000  0.0000  0.5000
Ac  0.6667  0.3333  0.2825
Ac  0.0000  0.0000  0.0000
Pd  0.8693  0.7386  0.7074
Pd  0.2614  0.1307  0.7074
Pd  0.5000  0.0000  0.0000
Pd  0.1307  0.2614  0.2926
Pd  0.5000  0.5000  0.0000
Pd  0.7386  0.8693  0.2926
Pd  0.1307  0.8693  0.2926
Pd  0.0000  0.5000  0.0000
Ac  0.3333  0.6667  0.7175


# 2
The following is a PBE calculation of an optimized crystal structure of TlC3, from the Alexandria database.

Output
Total moment ... 0.000 μB per formula unit
Offset from the most stable computed form ... 870 meV per atom
Energy of formation from the pure elements ... 159.2 kJ per mole of atoms

Cell lengths 2.6979, 2.6975, 6.5879 Å; angles 90.00, 90.00, 90.00 degrees
Positions (direct):
Tl  0.0000  0.5000  0.2918
C  0.0000  0.0000  0.9104
C  0.5000  0.5000  0.6728
C  0.5000  0.0000  0.7916


# 3
The following is a PBE calculation of an optimized crystal structure of La8Zn2In, from the Alexandria database.

Output
Total moment ... 0.000 μB per formula unit
Energy of formation from the pure elements ... -18.7 kJ per mole of atoms

Cell lengths 5.1081, 8.1647, 9.5490 Å; angles 113.28, 105.51, 90.00 degrees
Positions (direct):
La  0.3226  0.0322  0.6451
Zn  0.8141  0.3327  0.6281
La  0.4097  0.5369  0.8193
La  0.8155  0.7164  0.6310
La  0.1845  0.2836  0.3690
La  0.9650  0.2418  0.9300
Zn  0.1859  0.6673  0.3719
La  0.6774  0.9678  0.3549
In  0.5000  0.0000  0.0000
La  0.5903  0.4631  0.1807
La  0.0350  0.7582  0.0700


# 4
The following is a PBE calculation of an optimized crystal structure of Y2ReCl, from the Alexandria database.

Output
Total moment ... 0.287 μB per formula unit
Offset from the most stable computed form ... 637 meV per atom
Raw formation energy ... -0.01 eV/f.u.

Cell lengths 4.9814, 4.9814, 4.9814 Å; angles 60.00, 60.00, 60.00 degrees
Last column: magnetic moment on the atom in μB.
Positions (direct):
Cl  0.0000  0.0000  0.0000  0.02
Y  0.7500  0.7500  0.7500  -0.03
Y  0.2500  0.2500  0.2500  -0.03
Re  0.5000  0.5000  0.5000  0.30


# 5
The following is a PBE calculation of an optimized crystal structure of ScHgCl2, from the Alexandria database.

Output
Total moment ... 0.000 μB per formula unit
Offset from the most stable computed form ... 121 meV per atom
Raw formation energy ... -5.07 eV/f.u.

Cell lengths 10.3243, 10.3243, 10.3243 Å; angles 161.06, 161.12, 26.87 degrees
Positions (direct):
Hg  0.4401  0.4401  0.0000
Cl  0.7582  0.2582  0.5000
Cl  0.1058  0.1058  0.0000
Sc  0.1959  0.6959  0.5000


# 6
The following is a PBE calculation of an optimized crystal structure of YTa2Ag, from the Alexandria database.

Output
Total moment ... 0.000 μB per formula unit
Offset from the most stable computed form ... 327 meV per atom
Energy of formation from the pure elements ... 49.1 kJ per mole of atoms

Cell lengths 5.7180, 5.7180, 2.8817 Å; angles 90.00, 90.00, 119.32 degrees
Positions (direct):
Y  0.5000  0.0000  0.5000
Ag  0.0000  0.5000  0.5000
Ta  0.0000  0.0000  0.0000
Ta  0.5000  0.5000  0.0000


Question: Number 5 is which compound?
Answer: ScHgCl2